## HfHPtRh2 (PBE-GGA)

Data for HfHPtRh2 after structural relaxation.

Cell and atoms, written as CIF:
```
data_HfHPtRh2
_cell_length_a 3.960
_cell_length_b 3.960
_cell_length_c 4.145
_cell_angle_alpha 90.00
_cell_angle_beta 90.00
_cell_angle_gamma 90.00
_space_group_name_H-M_alt 'P 4/m m m'
_space_group_IT_number 123
_space_group_name_Hall '-P 4 2'
loop_
_atom_site_label
_atom_site_fract_x
_atom_site_fract_y
_atom_site_fract_z
_atom_site_occupancy
Hf1 0.000 0.000 0.000 1
H1 0.000 0.000 0.500 1
Pt1 0.500 0.500 0.000 1
Rh1 0.000 0.500 0.500 1
```

Summary:
Energy above the most stable polymorph in this dataset ... 0.154 eV/f.u.
N(E_F) ... 3.4 states/eV/cell